Material: SrCrRe
Method: DFT, GGA-PBE
State: optimized geometry

Structure (POSCAR):
```
SrCrRe
1.0
4.625 0.000 0.000
2.312 4.005 0.000
2.312 1.335 3.776
Cr Re Sr
1 1 1
Direct
0.500 0.500 0.500
0.750 0.750 0.750
0.000 0.000 0.000
```

Results
For the density, the calculation gives 7.7 g/cm3. For the total energy, the calculation gives -0.47843 Ry per atom. The polymorph energy (0 for the lowest one) is 2.23 eV per formula unit. The calculation puts the formation energy at 1.408 eV/atom.